VASP calculation (PBE with a Hubbard U) on a relaxed structure of MnTl3I2O9.

a b c (Å): 5.905 5.905 7.228
angles (deg): 90.00 90.00 120.00
Fractional positions:
I1 0.667 0.333 0.822
I2 0.333 0.667 0.178
Tl1 0.667 0.333 0.328
Tl2 0.333 0.667 0.672
Tl3 0.000 0.000 0.000
O1 0.822 0.178 0.678
O2 0.000 0.500 0.000
O3 0.355 0.178 0.678
O4 0.822 0.645 0.678
O5 0.500 0.500 0.000
O6 0.645 0.822 0.322
O7 0.178 0.822 0.322
O8 0.500 0.000 0.000
O9 0.178 0.355 0.322
Mn1 0.000 0.000 0.500

## Properties
The volume comes out at 14.55 Å³ per atom. As for the space group: No. 164. Its crystal system is trigonal. The calculated total energy is -4.688 eV/atom. The mass density comes out at 8.109 Mg/m³.